Compound: KFeI2O
Source: Alexandria
Functional: PBE with a Hubbard U
Structure: relaxed

Output
The value obtained for the magnetic moment is 1.35 Bohr magnetons per cell. The calculation puts the relative energy among the computed polymorphs at 0 meV per atom.

```
data_KFeI2O
_chemical_formula_sum 'K1 Fe1 I2 O1'
_symmetry_space_group_name_H-M 'P 4/m m m'
_symmetry_Int_Tables_number 123
_symmetry_space_group_name_Hall '-P 4 2'
_cell_length_a 6.133
_cell_length_b 6.133
_cell_length_c 3.673
_cell_angle_alpha 90.00
_cell_angle_beta 90.00
_cell_angle_gamma 90.00
loop_
_atom_site_label
_atom_site_fract_x
_atom_site_fract_y
_atom_site_fract_z
K1 0.000 0.000 0.000
Fe1 0.500 0.500 0.500
I1 0.000 0.500 0.500
O1 0.500 0.500 0.000
```